# GGA-PBE DyErIrRu, optimized geometry
# Energy of formation in eV per atom: -0.642
# Calculated density in g/cm³: 13.21
# M_tot in Bohr magnetons per cell: 0.0
# DFT total energy in eV/atom: -7.4678
# DOS(E_F) in states/eV/atom: 0.4895
data_DyErIrRu
_chemical_formula_sum 'Dy4 Er4 Ir4 Ru4'
_cell_length_a 6.7918
_cell_length_b 6.7918
_cell_length_c 6.7918
_cell_angle_alpha 90.00
_cell_angle_beta 90.00
_cell_angle_gamma 90.00
_space_group_name_H-M_alt 'F -4 3 m'
_space_group_IT_number 216
_space_group_name_Hall 'F -4 2 3'
loop_
_atom_site_label
_atom_site_fract_x
_atom_site_fract_y
_atom_site_fract_z
_atom_site_occupancy
Dy1 0.0000 0.0000 0.0000 1
Er1 0.0000 0.0000 0.5000 1
Ir1 0.2500 0.2500 0.2500 1
Ru1 0.2500 0.2500 0.7500 1